No. 1
Material: CsIn3Sb3
Method: DFT, GGA-PBE
State: optimized geometry

The structure belongs to space group R-3 (No. 148, hexagonal axes); the cell edges are 8.4884, 8.4884 and 28.1053 Å and the angles 90.00°, 90.00° and 120.00°. The asymmetric unit holds Cs at (0.0000, 0.0000, 0.1667), In at (0.0002, 0.3363, 0.6279) and Sb at (0.0000, 0.3301, 0.4024).

Its calculated density is 4.79 Mg/m³. Its density of states at the Fermi level is 16.09 states/eV/cell. For the energy relative to the elements, uncorrected, the calculation gives -188 meV per atom. The energy above the most stable polymorph in this dataset is 0.000 eV/atom.

=====

No. 2
Material: AcLaMg
Method: DFT, GGA-PBE
State: optimized geometry

The structure belongs to space group Pnma (No. 62); the cell edges are 11.201, 5.597 and 7.860 Å and the angles 90.00°, 90.00° and 90.00°. The asymmetric unit holds Ac at (0.127, 0.250, 0.004), La at (0.128, 0.250, 0.504) and Mg at (0.123, 0.750, 0.258).

Its calculated density is 5.26 Mg/m³. Its density of states at the Fermi level is 25.20 states/eV/cell. The formation enthalpy at 0 K comes out at 306 meV per atom. The energy above the most stable polymorph in this dataset is 0.356 eV/atom.

=====

No. 3
Material: PmNd2Tm3Bi6
Method: DFT, GGA-PBE
State: optimized geometry

The structure belongs to space group C2/m (No. 12); the cell edges are 19.672, 4.520 and 9.027 Å and the angles 90.00°, 103.07° and 90.00°. The asymmetric unit holds Pm at (0.000, 0.000, 0.000), Nd at (0.167, 0.500, 0.333), Tm at (0.000, 0.000, 0.500), Tm at (0.167, 0.500, 0.833), Bi at (0.003, 0.500, 0.745), Bi at (0.164, 0.000, 0.590) and Bi at (0.169, 0.000, 0.076).

Its calculated density is 9.32 Mg/m³. Its density of states at the Fermi level is 4.02 states/eV/cell. The formation enthalpy at 0 K comes out at -861 meV per atom.

=====

No. 4
Material: BaPt3Pb3
Method: DFT, GGA-PBE
State: optimized geometry

The structure belongs to space group Pm-3n (No. 223); the cell edges are 7.617, 7.617 and 7.617 Å and the angles 90.00°, 90.00° and 90.00°. The asymmetric unit holds Ba at (0.000, 0.000, 0.000), Pt at (0.000, 0.250, 0.500) and Pb at (0.000, 0.500, 0.250).

Its calculated density is 10.10 Mg/m³. Its density of states at the Fermi level is 9.48 states/eV/cell. The formation enthalpy at 0 K comes out at -191 meV per atom. The energy above the most stable polymorph in this dataset is 0.048 eV/atom.